Entry one
Density functional theory data (PBE-GGA) for LaDy2Y after structural relaxation.

Values from the calculation:
SG = P4/mmm, No. 123

Cell: 5.0967 5.0967 5.1021 Å, 90.00 90.00 90.00°
Fractional coordinates of all 4 atoms:
La 0.0000 0.0000 0.0000
Dy 0.0000 0.5000 0.5000
Dy 0.5000 0.0000 0.5000
Y 0.5000 0.5000 0.0000

=====

Entry two
Density functional theory data (PBE-GGA) for LaDy2Y after structural relaxation.

Values from the calculation:
SG = Cmcm, No. 63

Cell: 7.1879 7.1879 5.1162 Å, 90.00 90.00 90.52°
Fractional coordinates of all 8 atoms:
La 0.1263 0.8737 0.7500
La 0.8737 0.1263 0.2500
Dy 0.1261 0.3760 0.7500
Dy 0.3760 0.1261 0.2500
Dy 0.6240 0.8739 0.7500
Dy 0.8739 0.6240 0.2500
Y 0.3779 0.6221 0.2500
Y 0.6221 0.3779 0.7500

=====

Most stable to least stable: entry two, entry one

=====

Entry one
Density functional theory data (PBE-GGA) for La4Dy4Y after structural relaxation.

Values from the calculation:
SG = Fmm2, No. 42

Cell: 12.9279 12.6688 5.2812 Å, 80.86 75.36 23.79°
Fractional coordinates of all 9 atoms:
La 0.0000 0.0000 0.0000
La 0.2363 0.2363 0.2637
La 0.4635 0.4635 0.5365
La 0.7363 0.7363 0.7637
Dy 0.0953 0.6067 0.9047
Dy 0.4174 0.7643 0.2357
Dy 0.6067 0.0953 0.3933
Dy 0.7643 0.4174 0.5826
Y 0.1423 0.1423 0.8577

=====

Entry two
Density functional theory data (PBE-GGA) for La4Dy4Y after structural relaxation.

Values from the calculation:
SG = I4/mmm, No. 139

Cell: 8.1119 8.1119 8.1119 Å, 95.82 95.82 142.86°
Fractional coordinates of all 9 atoms:
La 0.1683 0.1683 0.3366
La 0.1683 0.8317 0.0000
La 0.8317 0.1683 0.0000
La 0.8317 0.8317 0.6634
Dy 0.1638 0.5000 0.6638
Dy 0.5000 0.1638 0.6638
Dy 0.5000 0.8362 0.3362
Dy 0.8362 0.5000 0.3362
Y 0.5000 0.5000 0.0000

=====

Most stable to least stable: entry two, entry one

=====

Entry one
Density functional theory data (PBE-GGA) for LaDy3Y after structural relaxation.

Values from the calculation:
SG = Cmcm, No. 63

Cell: 8.6098 8.6098 11.6319 Å, 90.00 90.00 155.39°
Fractional coordinates of all 10 atoms:
La 0.1915 0.8085 0.7500
La 0.8085 0.1915 0.2500
Dy 0.1465 0.8535 0.2500
Dy 0.3461 0.6539 0.5027
Dy 0.3461 0.6539 0.9973
Dy 0.6539 0.3461 0.0027
Dy 0.6539 0.3461 0.4973
Dy 0.8535 0.1465 0.7500
Y 0.4831 0.5169 0.2500
Y 0.5169 0.4831 0.7500

=====

Entry two
Density functional theory data (PBE-GGA) for LaDy3Y after structural relaxation.

Values from the calculation:
SG = P-1, No. 2

Cell: 6.3315 6.7947 8.5337 Å, 102.77 111.65 90.08°
Fractional coordinates of all 10 atoms:
La 0.1813 0.4469 0.1994
La 0.8187 0.5531 0.8006
Dy 0.0167 0.9505 0.2008
Dy 0.3827 0.8524 0.6001
Dy 0.4159 0.7537 0.0015
Dy 0.5841 0.2463 0.9985
Dy 0.6173 0.1476 0.3999
Dy 0.9833 0.0495 0.7992
Y 0.2161 0.3443 0.5999
Y 0.7839 0.6557 0.4001

=====

Most stable to least stable: entry two, entry one

=====

Entry one
Density functional theory data (PBE-GGA) for La2Dy2Y3 after structural relaxation.

Values from the calculation:
SG = Immm, No. 71

Cell: 12.2482 12.2482 12.2482 Å, 163.35 153.59 31.38°
Fractional coordinates of all 7 atoms:
La 0.0705 0.0705 0.0000
La 0.9295 0.9295 0.0000
Dy 0.3553 0.8553 0.5000
Dy 0.6447 0.1447 0.5000
Y 0.2106 0.7106 0.5000
Y 0.5000 0.5000 0.0000
Y 0.7894 0.2894 0.5000

=====

Entry two
Density functional theory data (PBE-GGA) for La2Dy2Y3 after structural relaxation.

Values from the calculation:
SG = Immm, No. 71

Cell: 12.0523 12.0523 12.0523 Å, 162.93 152.30 32.72°
Fractional coordinates of all 7 atoms:
La 0.0880 0.0880 0.0000
La 0.9120 0.9120 0.0000
Dy 0.3624 0.3624 0.0000
Dy 0.6376 0.6376 0.0000
Y 0.2264 0.7264 0.5000
Y 0.5000 0.0000 0.5000
Y 0.7736 0.2736 0.5000

=====

Most stable to least stable: entry one, entry two

=====

Entry one
Density functional theory data (PBE-GGA) for La3Dy7Y after structural relaxation.

Values from the calculation:
SG = Immm, No. 71

Cell: 8.5023 8.5023 8.5023 Å, 139.45 97.00 96.80°
Fractional coordinates of all 11 atoms:
La 0.0000 0.0000 0.0000
La 0.2153 0.5000 0.7153
La 0.7847 0.5000 0.2847
Dy 0.0077 0.2060 0.8017
Dy 0.2069 0.7069 0.5000
Dy 0.4043 0.2060 0.1983
Dy 0.5000 0.5000 0.0000
Dy 0.5957 0.7940 0.8017
Dy 0.7931 0.2931 0.5000
Dy 0.9923 0.7940 0.1983
Y 0.5000 0.0000 0.5000

=====

Entry two
Density functional theory data (PBE-GGA) for La3Dy7Y after structural relaxation.

Values from the calculation:
SG = P2/m, No. 10

Cell: 7.0214 5.5645 10.0952 Å, 90.00 109.25 90.00°
Fractional coordinates of all 11 atoms:
La 0.0000 0.0000 0.0000
La 0.2821 0.5000 0.4961
La 0.7179 0.5000 0.5039
Dy 0.0000 0.0000 0.5000
Dy 0.1469 0.5000 0.7896
Dy 0.3240 0.5000 0.1353
Dy 0.4239 0.0000 0.3291
Dy 0.5761 0.0000 0.6709
Dy 0.6760 0.5000 0.8647
Dy 0.8531 0.5000 0.2104
Y 0.5000 0.0000 0.0000

=====

Most stable to least stable: entry two, entry one

=====

Entry one
Density functional theory data (PBE-GGA) for La5DyY3 after structural relaxation.

Values from the calculation:
SG = I4/mcm, No. 140

Cell: 9.8174 9.8174 9.8174 Å, 122.04 122.04 86.50°
Fractional coordinates of all 18 atoms:
La 0.0000 0.0000 0.0000
La 0.0641 0.5641 0.9012
La 0.1629 0.0641 0.5000
La 0.3371 0.8371 0.9012
La 0.4359 0.3371 0.5000
La 0.5000 0.5000 0.0000
La 0.5641 0.6629 0.5000
La 0.6629 0.1629 0.0988
La 0.8371 0.9359 0.5000
La 0.9359 0.4359 0.0988
Dy 0.2500 0.7500 0.5000
Dy 0.7500 0.2500 0.5000
Y 0.1089 0.3911 0.5000
Y 0.2500 0.2500 0.0000
Y 0.3911 0.8911 0.2822
Y 0.6089 0.1089 0.7178
Y 0.7500 0.7500 0.0000
Y 0.8911 0.6089 0.5000

=====

Entry two
Density functional theory data (PBE-GGA) for La5DyY3 after structural relaxation.

Values from the calculation:
SG = C2/c, No. 15

Cell: 10.0922 10.0922 11.5882 Å, 113.79 113.79 37.83°
Fractional coordinates of all 18 atoms:
La 0.0379 0.6277 0.2896
La 0.0930 0.9070 0.7500
La 0.1431 0.5124 0.6389
La 0.3723 0.9621 0.2104
La 0.4876 0.8569 0.8611
La 0.5124 0.1431 0.1389
La 0.6277 0.0379 0.7896
La 0.8569 0.4876 0.3611
La 0.9070 0.0930 0.2500
La 0.9621 0.3723 0.7104
Dy 0.3754 0.6246 0.2500
Dy 0.6246 0.3754 0.7500
Y 0.0552 0.6261 0.9848
Y 0.3739 0.9448 0.5152
Y 0.5000 0.5000 0.0000
Y 0.5000 0.5000 0.5000
Y 0.6261 0.0552 0.4848
Y 0.9448 0.3739 0.0152

=====

Most stable to least stable: entry two, entry one

=====

Entry one
Density functional theory data (PBE-GGA) for LaDy12Y6 after structural relaxation.

Values from the calculation:
SG = R-3m, No. 166

Cell: 8.8359 8.8359 8.8359 Å, 98.78 98.78 98.78°
Fractional coordinates of all 19 atoms:
La 0.0000 0.0000 0.0000
Dy 0.1183 0.5000 0.8817
Dy 0.1183 0.8817 0.5000
Dy 0.1836 0.4696 0.4696
Dy 0.4696 0.1836 0.4696
Dy 0.4696 0.4696 0.1836
Dy 0.5000 0.1183 0.8817
Dy 0.5000 0.8817 0.1183
Dy 0.5304 0.5304 0.8164
Dy 0.5304 0.8164 0.5304
Dy 0.8164 0.5304 0.5304
Dy 0.8817 0.1183 0.5000
Dy 0.8817 0.5000 0.1183
Y 0.2046 0.2046 0.7405
Y 0.2046 0.7405 0.2046
Y 0.2595 0.7954 0.7954
Y 0.7405 0.2046 0.2046
Y 0.7954 0.2595 0.7954
Y 0.7954 0.7954 0.2595

=====

Entry two
Density functional theory data (PBE-GGA) for LaDy12Y6 after structural relaxation.

Values from the calculation:
SG = R-3m, No. 166

Cell: 9.3848 9.3848 9.3848 Å, 108.46 108.46 108.46°
Fractional coordinates of all 19 atoms:
La 0.0000 0.0000 0.0000
Dy 0.1083 0.5000 0.8917
Dy 0.1083 0.8917 0.5000
Dy 0.1651 0.3747 0.3747
Dy 0.3747 0.1651 0.3747
Dy 0.3747 0.3747 0.1651
Dy 0.5000 0.1083 0.8917
Dy 0.5000 0.8917 0.1083
Dy 0.6253 0.6253 0.8349
Dy 0.6253 0.8349 0.6253
Dy 0.8349 0.6253 0.6253
Dy 0.8917 0.1083 0.5000
Dy 0.8917 0.5000 0.1083
Y 0.2464 0.6787 0.6787
Y 0.3213 0.3213 0.7536
Y 0.3213 0.7536 0.3213
Y 0.6787 0.2464 0.6787
Y 0.6787 0.6787 0.2464
Y 0.7536 0.3213 0.3213

=====

Most stable to least stable: entry two, entry one

=====

Entry one
Density functional theory data (PBE-GGA) for La5Dy2Y after structural relaxation.

Values from the calculation:
SG = C2/c, No. 15

Cell: 11.6769 11.6769 6.6024 Å, 97.76 97.76 135.42°
Fractional coordinates of all 16 atoms:
La 0.0999 0.3183 0.8483
La 0.1603 0.8397 0.7500
La 0.2318 0.5523 0.4642
La 0.3183 0.0999 0.3483
La 0.4477 0.7682 0.0358
La 0.5523 0.2318 0.9642
La 0.6817 0.9001 0.6517
La 0.7682 0.4477 0.5358
La 0.8397 0.1603 0.2500
La 0.9001 0.6817 0.1517
Dy 0.0000 0.0000 0.0000
Dy 0.0000 0.0000 0.5000
Dy 0.0000 0.5000 0.0000
Dy 0.5000 0.0000 0.5000
Y 0.4989 0.5011 0.7500
Y 0.5011 0.4989 0.2500

=====

Entry two
Density functional theory data (PBE-GGA) for La5Dy2Y after structural relaxation.

Values from the calculation:
SG = Cmcm, No. 63

Cell: 6.7057 6.7057 16.6153 Å, 90.00 90.00 129.83°
Fractional coordinates of all 16 atoms:
La 0.0325 0.9675 0.7500
La 0.1161 0.8839 0.0514
La 0.1161 0.8839 0.4486
La 0.4261 0.5739 0.0938
La 0.4261 0.5739 0.4062
La 0.5739 0.4261 0.5938
La 0.5739 0.4261 0.9062
La 0.8839 0.1161 0.5514
La 0.8839 0.1161 0.9486
La 0.9675 0.0325 0.2500
Dy 0.2731 0.7269 0.6358
Dy 0.2731 0.7269 0.8642
Dy 0.7269 0.2731 0.1358
Dy 0.7269 0.2731 0.3642
Y 0.2473 0.7527 0.2500
Y 0.7527 0.2473 0.7500

=====

Most stable to least stable: entry two, entry one

=====

Entry one
Density functional theory data (PBE-GGA) for La2Dy3Y4 after structural relaxation.

Values from the calculation:
SG = C2/m, No. 12

Cell: 8.3946 8.3946 11.8487 Å, 119.62 119.62 24.42°
Fractional coordinates of all 9 atoms:
La 0.1090 0.1090 0.0649
La 0.8910 0.8910 0.9351
Dy 0.0000 0.0000 0.5000
Dy 0.4536 0.4536 0.7237
Dy 0.5464 0.5464 0.2763
Y 0.1744 0.1744 0.8351
Y 0.2768 0.2768 0.3904
Y 0.7232 0.7232 0.6096
Y 0.8256 0.8256 0.1649

=====

Entry two
Density functional theory data (PBE-GGA) for La2Dy3Y4 after structural relaxation.

Values from the calculation:
SG = C2/m, No. 12

Cell: 8.0624 8.0624 8.0508 Å, 107.45 107.45 36.88°
Fractional coordinates of all 9 atoms:
La 0.1654 0.1654 0.4991
La 0.8346 0.8346 0.5009
Dy 0.3902 0.3902 0.8350
Dy 0.5000 0.5000 0.5000
Dy 0.6098 0.6098 0.1650
Y 0.0558 0.0558 0.8376
Y 0.2776 0.2776 0.1632
Y 0.7224 0.7224 0.8368
Y 0.9442 0.9442 0.1624

=====

Most stable to least stable: entry two, entry one

=====

Entry one
Density functional theory data (PBE-GGA) for LaDy12Y7 after structural relaxation.

Values from the calculation:
SG = R-3, No. 148

Cell: 8.7445 8.7445 8.7445 Å, 87.00 87.00 87.00°
Fractional coordinates of all 20 atoms:
La 0.0000 0.0000 0.0000
Dy 0.1048 0.4320 0.3466
Dy 0.2325 0.3544 0.7601
Dy 0.2399 0.7675 0.6456
Dy 0.3466 0.1048 0.4320
Dy 0.3544 0.7601 0.2325
Dy 0.4320 0.3466 0.1048
Dy 0.5680 0.6534 0.8952
Dy 0.6456 0.2399 0.7675
Dy 0.6534 0.8952 0.5680
Dy 0.7601 0.2325 0.3544
Dy 0.7675 0.6456 0.2399
Dy 0.8952 0.5680 0.6534
Y 0.0025 0.8757 0.3688
Y 0.1243 0.6312 0.9975
Y 0.3688 0.0025 0.8757
Y 0.5000 0.5000 0.5000
Y 0.6312 0.9975 0.1243
Y 0.8757 0.3688 0.0025
Y 0.9975 0.1243 0.6312

=====

Entry two
Density functional theory data (PBE-GGA) for LaDy12Y7 after structural relaxation.

Values from the calculation:
SG = Im-3, No. 204

Cell: 9.7908 9.7908 9.7908 Å, 109.47 109.47 109.47°
Fractional coordinates of all 20 atoms:
La 0.0000 0.0000 0.0000
Dy 0.0008 0.2593 0.7416
Dy 0.2584 0.5177 0.2593
Dy 0.2584 0.9992 0.7407
Dy 0.2593 0.2584 0.5177
Dy 0.2593 0.7416 0.0008
Dy 0.4823 0.7407 0.7416
Dy 0.5177 0.2593 0.2584
Dy 0.7407 0.2584 0.9992
Dy 0.7407 0.7416 0.4823
Dy 0.7416 0.0008 0.2593
Dy 0.7416 0.4823 0.7407
Dy 0.9992 0.7407 0.2584
Y 0.0000 0.0000 0.5000
Y 0.0000 0.5000 0.0000
Y 0.0000 0.5000 0.5000
Y 0.5000 0.0000 0.0000
Y 0.5000 0.0000 0.5000
Y 0.5000 0.5000 0.0000
Y 0.5000 0.5000 0.5000

=====

Most stable to least stable: entry one, entry two